# 1
A plane-wave DFT calculation with PBE was carried out for an optimized crystal structure of TlIn2Ga.

Summary:
Its energy relative to the elements is 0.0866 eV/atom. The calculation puts the polymorph energy (0 for the lowest one) at 0.059 eV per atom. For the density of states at the Fermi level, the calculation gives 2.47 states/eV/f.u. The value obtained for the final energy is -2.63 eV/atom.

a b c (Å): 4.845 4.845 4.448
angles (deg): 90.00 90.00 90.00
Space group P4/mmm (No. 123)
Symmetry-distinct sites (fractional):
Tl: 0.000 0.000 0.000 [1 per cell]
In: 0.000 0.500 0.500 [2 per cell]
Ga: 0.500 0.500 0.000 [1 per cell]

***

# 2
A plane-wave DFT calculation with PBE was carried out for an optimized crystal structure of FeIrBr2.

Summary:
As for the energy relative to the elements, uncorrected: 0.87 eV/atom. The calculation puts the polymorph energy (0 for the lowest one) at 0.755 eV per atom. For the density of states at the Fermi level, the calculation gives 3.21 states/eV/f.u. The value obtained for the final energy is -4.29 eV/atom.

a b c (Å): 3.076 5.980 8.409
angles (deg): 90.00 90.00 90.00
Space group Immm (No. 71)
Symmetry-distinct sites (fractional):
Fe: 0.000 0.000 0.000 [2 per cell]
Ir: 0.000 0.000 0.500 [2 per cell]
Br: 0.000 0.500 0.253 [4 per cell]

***

# 3
A plane-wave DFT calculation with PBE was carried out for an optimized crystal structure of Bi3WSe.

Summary:
As for the energy relative to the elements, uncorrected: 1.49 eV/atom. The calculation puts the polymorph energy (0 for the lowest one) at 0.867 eV per atom. For the density of states at the Fermi level, the calculation gives 2.57 states/eV/f.u. The value obtained for the final energy is -4.12 eV/atom.

a b c (Å): 5.459 5.459 5.459
angles (deg): 90.00 90.00 90.00
Space group Pm-3m (No. 221)
Symmetry-distinct sites (fractional):
Bi: 0.000 0.000 0.500 [3 per cell]
W: 0.500 0.500 0.500 [1 per cell]
Se: 0.000 0.000 0.000 [1 per cell]

***

# 4
A plane-wave DFT calculation with PBE was carried out for an optimized crystal structure of Ac4Bi2Cl.

Summary:
As for the energy relative to the elements, uncorrected: -0.71 eV/atom. For the density of states at the Fermi level, the calculation gives 8.34 states/eV/f.u. The value obtained for the final energy is -4.43 eV/atom.

a b c (Å): 5.558 5.558 17.614
angles (deg): 90.00 90.00 90.00
Space group I4/mmm (No. 139)
Symmetry-distinct sites (fractional):
Ac: 0.000 0.000 0.174 [4 per cell]
Ac: 0.000 0.500 0.000 [4 per cell]
Bi: 0.000 0.000 0.367 [4 per cell]
Cl: 0.000 0.000 0.000 [2 per cell]

***

# 5
A plane-wave DFT calculation with PBE was carried out for an optimized crystal structure of KTmO3.

Summary:
As for the energy relative to the elements, uncorrected: -1.94 eV/atom. For the density of states at the Fermi level, the calculation gives 5.26 states/eV/f.u. The value obtained for the final energy is -6.03 eV/atom.

a b c (Å): 4.412 4.412 4.412
angles (deg): 90.00 90.00 90.00
Space group Pm-3m (No. 221)
Symmetry-distinct sites (fractional):
K: 0.000 0.000 0.000 [1 per cell]
Tm: 0.500 0.500 0.500 [1 per cell]
O: 0.000 0.500 0.500 [3 per cell]

***

# 6
A plane-wave DFT calculation with PBE was carried out for an optimized crystal structure of BaCa3Sn.

Summary:
Its energy relative to the elements is -0.1798 eV/atom. The calculation puts the polymorph energy (0 for the lowest one) at 0.000 eV per atom. For the density of states at the Fermi level, the calculation gives 3.11 states/eV/f.u. The value obtained for the final energy is -2.57 eV/atom.

a b c (Å): 6.139 6.139 6.139
angles (deg): 90.00 90.00 90.00
Space group Pm-3m (No. 221)
Symmetry-distinct sites (fractional):
Ba: 0.000 0.000 0.000 [1 per cell]
Ca: 0.000 0.500 0.500 [3 per cell]
Sn: 0.500 0.500 0.500 [1 per cell]

***

# 7
A plane-wave DFT calculation with PBE was carried out for an optimized crystal structure of Ba3Tl11.

Summary:
Its energy relative to the elements is -0.2617 eV/atom. For the density of states at the Fermi level, the calculation gives 6.92 states/eV/f.u. The value obtained for the final energy is -2.53 eV/atom.

a b c (Å): 5.150 12.044 15.392
angles (deg): 90.00 90.00 90.00
Space group Immm (No. 71)
Symmetry-distinct sites (fractional):
Ba: 0.000 0.000 0.000 [2 per cell]
Ba: 0.000 0.000 0.309 [4 per cell]
Tl: 0.000 0.192 0.500 [4 per cell]
Tl: 0.000 0.279 0.151 [8 per cell]
Tl: 0.000 0.372 0.345 [8 per cell]
Tl: 0.000 0.500 0.000 [2 per cell]

***

# 8
A plane-wave DFT calculation with PBE was carried out for an optimized crystal structure of TiMn2TlAu.

Summary:
Its energy relative to the elements is 0.7346 eV/atom. For the density of states at the Fermi level, the calculation gives 5.20 states/eV/f.u. The value obtained for the final energy is -5.64 eV/atom.

a b c (Å): 4.964 4.964 4.958
angles (deg): 90.00 90.00 90.00
Space group P4/mmm (No. 123)
Symmetry-distinct sites (fractional):
Ti: 0.000 0.000 0.000 [1 per cell]
Mn: 0.000 0.500 0.500 [2 per cell]
Tl: 0.500 0.500 0.000 [1 per cell]
Au: 0.000 0.000 0.500 [1 per cell]